Record 1
This record from Alexandria via LeMat-Bulk describes a relaxed structure of Na4Sb2F9. The functional is PBE.

formation energy without anion corrections = -2.4132 eV per atom
DFT total energy = -4.437 eV per atom
calculated volume = 14.7 A^3/atom

Geometry as POSCAR:
```
Na4Sb2F9
1.0
5.306 -3.061 0.000
5.306 3.061 0.000
-0.009 0.000 13.593
Na Sb F
8 4 18
direct
0.167 0.167 0.020 Na
0.167 0.167 0.294 Na
0.167 0.167 0.520 Na
0.167 0.167 0.794 Na
0.833 0.833 0.206 Na
0.833 0.833 0.480 Na
0.833 0.833 0.706 Na
0.833 0.833 0.980 Na
0.500 0.500 0.125 Sb
0.500 0.500 0.375 Sb
0.500 0.500 0.625 Sb
0.500 0.500 0.875 Sb
0.134 0.527 0.591 F
0.135 0.838 0.091 F
0.162 0.473 0.909 F
0.162 0.865 0.409 F
0.211 0.500 0.250 F
0.211 0.789 0.750 F
0.473 0.162 0.409 F
0.473 0.866 0.909 F
0.500 0.211 0.750 F
0.500 0.789 0.250 F
0.527 0.134 0.091 F
0.527 0.838 0.591 F
0.789 0.211 0.250 F
0.789 0.500 0.750 F
0.838 0.135 0.591 F
0.838 0.527 0.091 F
0.865 0.162 0.909 F
0.866 0.473 0.409 F
```



Record 2
This record from Alexandria via LeMat-Bulk describes a relaxed structure of Sn2RhW. The functional is PBE.

DFT total energy = -6.842 eV per atom
calculated volume = 18.0 A^3/atom
formation energy from the elements = 0.235 eV/atom

Geometry as POSCAR:
```
Sn2RhW
1.0
0.000 3.300 3.300
3.300 0.000 3.300
3.300 3.300 0.000
Sn Rh W
2 1 1
direct
0.250 0.250 0.250 Sn
0.750 0.750 0.750 Sn
0.000 0.000 0.000 Rh
0.500 0.500 0.500 W
```



no.,density (g/cm³)
1,3.81
2,12.11